No. 1
DFT (GGA-PBE) results for crystalline KZr2Nb2 at its relaxed geometry.

Total magnetization, μB per atom: 0.00
VASP energy, eV per atom: -6.5958
E above lowest polymorph, eV per atom: 0.435
ΔH_f (0 K), kJ/mol of formula units: 517

a = 7.321 Å, b = 7.321 Å, c = 7.321 Å
α = 144.94°, β = 144.94°, γ = 50.43°
Fractional positions:
K (0.000, 0.000, 0.000)
Zr (0.250, 0.750, 0.500)
Zr (0.750, 0.250, 0.500)
Nb (0.399, 0.399, 0.000)
Nb (0.601, 0.601, 0.000)

No. 2
DFT (GGA-PBE) results for crystalline NaSbIr2 at its relaxed geometry.

Total magnetization, μB per atom: 0.00
VASP energy, eV per atom: -5.2544
Formation energy (no corrections), kJ per mole of atoms: 51.8

a = 6.048 Å, b = 6.048 Å, c = 6.048 Å
α = 102.36°, β = 102.36°, γ = 124.88°
Fractional positions:
Na (0.000, 0.000, 0.000)
Na (0.750, 0.250, 0.500)
Sb (0.250, 0.750, 0.500)
Sb (0.500, 0.500, 0.000)
Ir (0.172, 0.625, 0.047)
Ir (0.375, 0.422, 0.547)
Ir (0.578, 0.125, 0.953)
Ir (0.875, 0.828, 0.453)

> total magnetization of number 2 (NaSbIr2)?

0.00 μB per atom

> Which formula does entry 2 have?

NaSbIr2

> The highest VASP energy belongs to which entry?

NaSbIr2